Here is crystalline NbPHS2 at its relaxed geometry from Alexandria. Energies are from PBE.

```
NbPHS2
1.0
4.791 0.000 0.000
0.000 4.791 0.000
0.000 0.000 4.914
S H P Nb
2 1 1 1
Direct
0.000 0.500 0.000
0.500 0.000 0.000
0.500 0.500 0.500
0.000 0.000 0.500
0.000 0.000 0.000
```

Computed properties:
SG: P4/mmm
Energy above the most stable polymorph in this dataset in eV/atom: 0.106
E_tot in eV for the cell shown: -24.90